1.
12
Lattice="3.385 0.000 0.000 -1.692 2.931 0.000 0.000 0.000 34.552" Properties=species:S:1:pos:R:3 comment="PrEr2V GGA-PBE relaxed" sg=R-3m dft_energy_ev_per_cell=-61.63 de_polymorph_ev_per_fu=1.71 m_tot_mub_per_cell=9.37 formation_energy_ev_per_atom=0.620 pbc="T T T"
Pr 0.000 0.000 0.000
Pr 0.000 1.954 23.035
Pr 1.692 0.977 11.517
Er 0.000 0.000 14.499
Er 0.000 0.000 20.054
Er 0.000 1.954 2.981
Er 0.000 1.954 8.536
Er 1.692 0.977 26.016
Er 1.692 0.977 31.571
V 0.000 0.000 17.276
V 0.000 1.954 5.759
V 1.692 0.977 28.794

=====

2.
14
Lattice="6.769 0.000 0.000 1.858 8.291 0.000 2.853 3.280 8.181" Properties=species:S:1:pos:R:3 comment="Pr2YEr4 GGA-PBE relaxed" sg=P1 dft_energy_ev_per_cell=-68.34 m_tot_mub_per_cell=0.00 formation_energy_ev_per_atom=0.015 pbc="T T T"
Pr 0.000 0.000 0.000
Pr 1.431 3.289 0.164
Pr 3.834 3.074 4.655
Pr 7.206 3.484 3.673
Y 6.188 6.097 1.349
Y 8.615 5.953 5.815
Er 2.866 5.741 2.320
Er 4.269 8.909 2.533
Er 5.257 6.357 4.853
Er 6.692 8.763 6.984
Er 6.244 3.706 7.197
Er 4.778 2.846 1.145
Er 7.628 8.517 3.489
Er 10.024 9.131 6.015

=====

3.
12
Lattice="-2.564 5.029 7.674 2.564 -5.029 7.674 2.564 5.029 -7.674" Properties=species:S:1:pos:R:3 comment="Pr5YEr6 GGA-PBE relaxed" sg=Immm dft_energy_ev_per_cell=-57.48 m_tot_mub_per_cell=0.00 formation_energy_ev_per_atom=0.022 pbc="T T T"
Pr 0.000 0.000 0.000
Pr 2.564 0.000 2.565
Pr 0.000 0.000 5.139
Pr 0.000 0.000 10.209
Pr 0.000 5.029 5.109
Y 0.000 5.029 0.000
Er 2.564 -2.510 5.121
Er 2.564 2.522 0.000
Er 0.000 2.519 2.553
Er 2.564 2.510 5.121
Er 0.000 2.507 7.674
Er 0.000 7.539 2.553

=====

4.
22
Lattice="2.905 -4.890 0.000 2.905 4.890 0.000 0.000 0.000 26.095" Properties=species:S:1:pos:R:3 comment="Pr4Y6Er GGA-PBE relaxed" sg=Cmcm dft_energy_ev_per_cell=-122.39 de_polymorph_ev_per_fu=0.00 m_tot_mub_per_cell=0.00 formation_energy_ev_per_atom=0.115 pbc="T T T"
Pr 2.905 4.588 16.248
Pr 2.905 4.588 22.894
Pr 2.905 1.527 14.238
Pr 2.905 1.527 24.904
Pr 2.905 -1.527 1.190
Pr 2.905 -1.527 11.857
Pr 2.905 -4.588 3.201
Pr 2.905 -4.588 9.846
Y 0.000 0.000 0.000
Y 0.000 0.000 13.047
Y 2.905 4.718 19.571
Y 2.905 1.864 2.803
Y 2.905 1.864 10.245
Y 2.905 1.414 17.839
Y 2.905 1.414 21.303
Y 2.905 -1.414 4.792
Y 2.905 -1.414 8.256
Y 2.905 -1.864 15.850
Y 2.905 -1.864 23.292
Y 2.905 -4.718 6.524
Er 2.905 1.797 6.524
Er 2.905 -1.797 19.571

=====

5.
11
Lattice="4.345 -5.528 0.000 4.345 5.528 0.000 -1.996 0.000 8.064" Properties=species:S:1:pos:R:3 comment="Pr7Y2Er2 GGA-PBE relaxed" sg=C2/m dft_energy_ev_per_cell=-54.11 de_polymorph_ev_per_fu=0.00 m_tot_mub_per_cell=0.00 formation_energy_ev_per_atom=0.128 pbc="T T T"
Pr 0.000 0.000 0.000
Pr 0.983 2.327 6.702
Pr 0.768 0.000 3.907
Pr 5.710 2.327 1.362
Pr 0.983 -2.327 6.702
Pr 5.926 0.000 4.157
Pr 5.710 -2.327 1.362
Y 3.347 2.356 4.032
Y 3.347 -2.356 4.032
Er 3.243 0.000 1.433
Er 3.450 0.000 6.631

=====

6.
12
Lattice="-4.406 4.406 5.718 4.406 -4.406 5.718 4.406 4.406 -5.718" Properties=species:S:1:pos:R:3 comment="Pr3Y8Er GGA-PBE relaxed" sg=I-42m dft_energy_ev_per_cell=-63.19 m_tot_mub_per_cell=0.00 formation_energy_ev_per_atom=0.619 pbc="T T T"
Pr 0.000 0.000 0.000
Pr 4.406 0.000 2.859
Pr 0.000 4.406 2.859
Y 3.299 3.299 -2.798
Y 2.140 -2.140 5.570
Y 2.266 2.266 0.148
Y 1.107 1.107 2.920
Y 1.107 -1.107 8.516
Y -2.140 2.140 5.570
Y 2.140 2.140 5.866
Y -1.107 1.107 8.516
Er 0.000 0.000 5.718

=====

7.
16
Lattice="16.524 0.000 0.000 0.000 5.737 0.000 -2.031 0.000 5.683" Properties=species:S:1:pos:R:3 comment="Pr3Y3Er2 GGA-PBE relaxed" sg=C2/m dft_energy_ev_per_cell=-84.48 m_tot_mub_per_cell=0.00 formation_energy_ev_per_atom=0.077 pbc="T T T"
Pr 0.000 0.000 0.000
Pr 0.836 0.000 3.966
Pr 5.395 2.869 1.717
Pr 8.262 2.869 0.000
Pr 9.098 2.869 3.966
Pr 13.657 0.000 1.717
Y -1.016 2.869 2.842
Y 2.039 2.869 0.479
Y 4.192 0.000 5.204
Y 7.247 0.000 2.842
Y 10.301 0.000 0.479
Y 12.454 2.869 5.204
Er 3.479 0.000 1.806
Er 2.752 2.869 3.878
Er 11.014 0.000 3.878
Er 11.741 2.869 1.806

=====

8.
16
Lattice="5.774 0.000 0.000 0.000 11.274 0.000 -2.403 0.000 8.181" Properties=species:S:1:pos:R:3 comment="PrY5Er2 GGA-PBE relaxed" sg=P2_1/m dft_energy_ev_per_cell=-89.77 de_polymorph_ev_per_fu=1.16 m_tot_mub_per_cell=0.00 formation_energy_ev_per_atom=0.167 pbc="T T T"
Pr -0.347 2.818 1.267
Pr 3.718 8.455 6.914
Y 0.436 6.503 1.707
Y 0.436 10.407 1.707
Y 0.162 2.818 4.786
Y 0.253 6.494 5.078
Y 0.253 10.417 5.078
Y 3.117 0.857 3.103
Y 3.117 4.780 3.103
Y 3.208 8.455 3.395
Y 2.935 0.867 6.474
Y 2.935 4.770 6.474
Er -0.049 1.320 7.899
Er -0.049 4.317 7.899
Er 3.419 6.957 0.283
Er 3.419 9.953 0.283